Computed, not measured: a relaxed Zr2TlIr crystal at the PBE level of DFT.

Output
Magnetic moment = 0.000 μB/f.u.
ΔH_f (0 K) = 0.0042 eV per atom
SG = R3m (160)
Energy above the lowest structure with this stoichiometry = 427 meV/atom
Crystal system = trigonal
Density of states at the Fermi level = 0.889 states/eV/atom
Energy = -0.520 Ry per atom

Cell lengths 9.5215, 9.5215, 9.5215 Å; angles 19.76, 19.76, 19.76 degrees
Closest atoms and distances in Å follow each position.
Positions (direct):
Ir 0.5050 0.5050 0.5050  3 Zr 2.70, 3 Tl 2.97
Tl 0.7564 0.7564 0.7564  3 Ir 2.97, 3 Zr 3.19, 6 Tl 3.27
Zr 0.9976 0.9976 0.9976  9 Zr 3.15-3.27, 3 Tl 3.19
Zr 0.2409 0.2409 0.2409  3 Ir 2.70